! Tb2TmAl, relaxed, DFT GGA-PBE; values from VASP
! Formation energy (eV/atom): 0.13
! Distance to the lowest polymorph of the same formula (meV per atom): 323
&SYSTEM
  ibrav = 0, nat = 4, ntyp = 3
/
ATOMIC_SPECIES
Tb 158.93 Tb.upf
Tm 168.93 Tm.upf
Al 26.98 Al.upf
CELL_PARAMETERS angstrom
1.7266 0.9969 11.4509
-1.7266 0.9969 11.4509
0.0000 -1.9938 11.4509
ATOMIC_POSITIONS crystal
Tb 0.0996 0.0996 0.0996
Tb 0.9004 0.9004 0.9004
Tm 0.0000 0.0000 0.0000
Al 0.5000 0.5000 0.5000